# 1
Rb3TbPr2O6 | PBE | optimized geometry

The structure in POSCAR format:
```
Rb3TbPr2O6
1.0
-0.3983 3.2940 5.3776
-3.3430 -5.3156 -0.7050
6.2631 -2.8147 0.9522
O Pr Tb Rb
6 2 1 3
Direct
0.2627 0.2627 0.8201 O
0.3825 0.0600 0.1799 O
0.6175 0.9400 0.8201 O
0.0600 0.3825 0.1799 O
0.7373 0.7373 0.1799 O
0.9400 0.6175 0.8201 O
0.6667 0.3333 0.0000 Pr
0.3333 0.6667 0.0000 Pr
0.0000 0.0000 0.0000 Tb
0.5000 0.5000 0.5000 Rb
0.8348 0.1652 0.5000 Rb
0.1652 0.8348 0.5000 Rb
```

Results
Space-group type: C2/m (12)
Magnetic moment: 0.00 μB per formula unit
Raw formation energy: -30.9 eV/f.u.
E: -77.7 eV for the cell shown



# 2
RbPrTcO5 | PBE | optimized geometry

The structure in POSCAR format:
```
RbPrTcO5
1.0
-4.4762 1.2841 -4.6987
5.8091 -0.8848 -3.0387
-2.0646 -7.7390 2.6808
Pr Rb O Tc
2 2 10 2
Direct
0.0000 0.0000 0.0000 Pr
0.0000 0.0000 0.5000 Pr
0.6747 0.3253 0.7500 Rb
0.3253 0.6747 0.2500 Rb
0.5895 0.7479 0.9005 O
0.1331 0.7011 0.8730 O
0.7011 0.1331 0.3730 O
0.0742 0.9258 0.2500 O
0.2521 0.4105 0.5995 O
0.4105 0.2521 0.0995 O
0.7479 0.5895 0.4005 O
0.9258 0.0742 0.7500 O
0.2989 0.8669 0.6270 O
0.8669 0.2989 0.1270 O
0.6816 0.3184 0.2500 Tc
0.3184 0.6816 0.7500 Tc
```

Results
Space-group type: C2/c (15)
Magnetic moment: 1.02 μB per formula unit
Raw formation energy: -16.1 eV/f.u.
E: -114.1 eV for the cell shown



# 3
Rb2PrTcO6 | PBE | optimized geometry

The structure in POSCAR format:
```
Rb2PrTcO6
1.0
-5.0352 1.4937 2.9664
2.7707 -1.7841 5.6014
0.5757 6.1215 -2.1051
O Tc Rb Pr
6 1 2 1
Direct
0.8068 0.7295 0.8648 O
0.8068 0.1352 0.8648 O
0.8068 0.1352 0.2705 O
0.1932 0.2705 0.1352 O
0.1932 0.8648 0.7295 O
0.1932 0.8648 0.1352 O
0.0000 0.0000 0.0000 Tc
0.9004 0.6667 0.3333 Rb
0.0996 0.3333 0.6667 Rb
0.5000 0.0000 0.0000 Pr
```

Results
Space-group type: P-3m1 (164)
Magnetic moment: 0.00 μB per formula unit
Raw formation energy: -18.2 eV/f.u.
E: -65.0 eV for the cell shown



# 4
RbPr2TcO8 | PBE | optimized geometry

The structure in POSCAR format:
```
RbPr2TcO8
1.0
5.2875 -0.0385 -0.0470
-0.0629 4.4450 0.6188
0.0620 1.0357 7.6757
O Pr Tc Rb
8 2 1 1
Direct
0.0036 0.3292 0.7895 O
0.9964 0.6708 0.2105 O
0.7077 0.1645 0.0974 O
0.7666 0.7861 0.8918 O
0.2334 0.2139 0.1082 O
0.4985 0.3283 0.5066 O
0.5015 0.6717 0.4934 O
0.2923 0.8355 0.9026 O
0.5099 0.6162 0.1949 Pr
0.4901 0.3838 0.8051 Pr
0.0000 0.0000 0.0000 Tc
0.0000 0.0000 0.5000 Rb
```

Results
Space-group type: P-1 (2)
Magnetic moment: 0.00 μB per formula unit
Raw formation energy: -24.6 eV/f.u.
E: -85.2 eV for the cell shown